Density functional theory data (PBE-GGA) for an optimized crystal structure of Ca3ZrB.

Values from the calculation:
calculated volume	37.1	Å³/atom
DFT formation energy	1.78	eV/atom
energy relative to the lowest polymorph listed for this composition	1.128	eV/atom

abc: 5.702 5.702 5.702
angles: 90.00 90.00 90.00
Space group Pm-3m (No. 221)
Unique sites:
Ca  0.000  0.000  0.500 (multiplicity 3)
Zr  0.000  0.000  0.000 (multiplicity 1)
B  0.500  0.500  0.500 (multiplicity 1)